1.
## BeAs2SeBr (PBE-GGA)

Data for a geometry-optimized BeAs2SeBr structure.

Cell: 4.786 4.786 4.396 Å, 90.00 90.00 90.00°
Fractional positions:
Be (0.000, 0.000, 0.000)
As (0.000, 0.500, 0.000)
As (0.500, 0.000, 0.000)
Se (0.000, 0.000, 0.500)
Br (0.500, 0.500, 0.500)

Space group: P4/mmm, No. 123
Total moment: 0.00 μB per formula unit
ΔE to the lowest computed polymorph: 0.021 eV per atom
Formation energy from raw total energies: 0.483 eV/atom

2.
## BeAsSe2Br (PBE-GGA)

Data for a geometry-optimized BeAsSe2Br structure.

Cell: 5.082 5.082 5.130 Å, 90.00 90.00 90.00°
Fractional positions:
Be (0.000, 0.000, 0.000)
As (0.500, 0.500, 0.500)
Se (0.000, 0.500, 0.500)
Se (0.500, 0.000, 0.500)
Br (0.500, 0.500, 0.000)

Space group: P4/mmm, No. 123
Total moment: 0.00 μB per formula unit
ΔE to the lowest computed polymorph: 0.463 eV per atom
Formation energy from raw total energies: 0.779 eV/atom

3.
## BeAs2SeBr (PBE-GGA)

Data for a geometry-optimized BeAs2SeBr structure.

Cell: 5.093 5.093 5.195 Å, 90.00 90.00 90.00°
Fractional positions:
Be (0.000, 0.000, 0.000)
As (0.000, 0.500, 0.500)
As (0.500, 0.000, 0.500)
Se (0.500, 0.500, 0.000)
Br (0.500, 0.500, 0.500)

Space group: P4/mmm, No. 123
Total moment: 0.45 μB per formula unit
ΔE to the lowest computed polymorph: 1.100 eV per atom
Formation energy from raw total energies: 1.562 eV/atom

4.
## BeAs2SeBr (PBE-GGA)

Data for a geometry-optimized BeAs2SeBr structure.

Cell: 4.763 4.763 4.401 Å, 90.00 90.00 90.00°
Fractional positions:
Be (0.000, 0.000, 0.000)
As (0.000, 0.500, 0.000)
As (0.500, 0.000, 0.000)
Se (0.500, 0.500, 0.500)
Br (0.000, 0.000, 0.500)

Space group: P4/mmm, No. 123
Total moment: 0.00 μB per formula unit
ΔE to the lowest computed polymorph: 0.000 eV per atom
Formation energy from raw total energies: 0.462 eV/atom

5.
## BeAsSe2Br (PBE-GGA)

Data for a geometry-optimized BeAsSe2Br structure.

Cell: 4.729 4.729 4.516 Å, 90.00 90.00 90.00°
Fractional positions:
Be (0.000, 0.000, 0.000)
As (0.500, 0.500, 0.500)
Se (0.000, 0.500, 0.000)
Se (0.500, 0.000, 0.000)
Br (0.000, 0.000, 0.500)

Space group: P4/mmm, No. 123
Total moment: 0.00 μB per formula unit
ΔE to the lowest computed polymorph: 0.000 eV per atom
Formation energy from raw total energies: 0.316 eV/atom

6.
## BeAsSe2Br (PBE-GGA)

Data for a geometry-optimized BeAsSe2Br structure.

Cell: 5.057 5.057 5.250 Å, 90.00 90.00 90.00°
Fractional positions:
Be (0.000, 0.000, 0.000)
As (0.500, 0.500, 0.000)
Se (0.000, 0.500, 0.500)
Se (0.500, 0.000, 0.500)
Br (0.500, 0.500, 0.500)

Space group: P4/mmm, No. 123
Total moment: 0.07 μB per formula unit
ΔE to the lowest computed polymorph: 1.153 eV per atom
Formation energy from raw total energies: 1.469 eV/atom

7.
## BeAs2SeBr (PBE-GGA)

Data for a geometry-optimized BeAs2SeBr structure.

Cell: 5.074 5.074 5.375 Å, 90.00 90.00 90.00°
Fractional positions:
Be (0.000, 0.000, 0.000)
As (0.000, 0.500, 0.500)
As (0.500, 0.000, 0.500)
Se (0.500, 0.500, 0.500)
Br (0.500, 0.500, 0.000)

Space group: P4/mmm, No. 123
Total moment: 0.89 μB per formula unit
ΔE to the lowest computed polymorph: 0.731 eV per atom
Formation energy from raw total energies: 1.193 eV/atom

8.
## BeAsSe2Br (PBE-GGA)

Data for a geometry-optimized BeAsSe2Br structure.

Cell: 4.419 4.419 5.326 Å, 90.00 90.00 90.00°
Fractional positions:
Be (0.000, 0.000, 0.000)
As (0.000, 0.000, 0.500)
Se (0.000, 0.500, 0.000)
Se (0.500, 0.000, 0.000)
Br (0.500, 0.500, 0.500)

Space group: P4/mmm, No. 123
Total moment: 0.00 μB per formula unit
ΔE to the lowest computed polymorph: 0.079 eV per atom
Formation energy from raw total energies: 0.395 eV/atom

9.
## SrBe2AsBr (PBE-GGA)

Data for a geometry-optimized SrBe2AsBr structure.

Cell: 6.166 6.166 5.713 Å, 90.00 90.00 90.00°
Fractional positions:
Sr (0.000, 0.000, 0.000)
Be (0.000, 0.500, 0.000)
Be (0.500, 0.000, 0.000)
As (0.500, 0.500, 0.500)
Br (0.000, 0.000, 0.500)

Space group: P4/mmm, No. 123
Total moment: 2.32 μB per formula unit
Formation energy from raw total energies: 1.268 eV/atom

10.
## TaBeAs2Br (PBE-GGA)

Data for a geometry-optimized TaBeAs2Br structure.

Cell: 4.417 4.417 4.812 Å, 90.00 90.00 90.00°
Fractional positions:
Ta (0.000, 0.000, 0.000)
Be (0.500, 0.500, 0.500)
As (0.000, 0.500, 0.500)
As (0.500, 0.000, 0.500)
Br (0.500, 0.500, 0.000)

Space group: P4/mmm, No. 123
Total moment: 1.68 μB per formula unit
ΔE to the lowest computed polymorph: 0.130 eV per atom
Formation energy from raw total energies: 0.818 eV/atom

11.
## TaBeAs2Br (PBE-GGA)

Data for a geometry-optimized TaBeAs2Br structure.

Cell: 5.010 5.010 5.179 Å, 90.00 90.00 90.00°
Fractional positions:
Ta (0.000, 0.000, 0.000)
Be (0.500, 0.500, 0.500)
As (0.000, 0.500, 0.000)
As (0.500, 0.000, 0.000)
Br (0.000, 0.000, 0.500)

Space group: P4/mmm, No. 123
Total moment: 0.00 μB per formula unit
ΔE to the lowest computed polymorph: 0.000 eV per atom
Formation energy from raw total energies: 0.688 eV/atom

12.
## BeTcAsBr2 (PBE-GGA)

Data for a geometry-optimized BeTcAsBr2 structure.

Cell: 4.604 4.604 5.095 Å, 90.00 90.00 90.00°
Fractional positions:
Be (0.000, 0.000, 0.000)
Tc (0.500, 0.500, 0.500)
As (0.000, 0.000, 0.500)
Br (0.000, 0.500, 0.000)
Br (0.500, 0.000, 0.000)

Space group: P4/mmm, No. 123
Total moment: 4.07 μB per formula unit
ΔE to the lowest computed polymorph: 0.000 eV per atom
Formation energy from raw total energies: 0.782 eV/atom

| no. | density of states at the Fermi level (states/eV/f.u.) |
| --- | --- |
| 1 | 3.80 |
| 2 | 3.73 |
| 3 | 6.28 |
| 4 | 2.23 |
| 5 | 4.06 |
| 6 | 5.87 |
| 7 | 4.79 |
| 8 | 2.21 |
| 9 | 3.36 |
| 10 | 4.44 |
| 11 | 1.73 |
| 12 | 2.65 |